VASP calculation (GGA-PBE) on KTe3Pb after structural relaxation.

```
KTe3Pb
1.0
5.9668 0.0000 0.0000
0.0000 5.9668 0.0000
0.0000 0.0000 5.9668
K Te Pb
1 3 1
direct
0.0000 0.0000 0.0000 K
0.0000 0.0000 0.5000 Te
0.0000 0.5000 0.0000 Te
0.5000 0.0000 0.0000 Te
0.5000 0.5000 0.5000 Pb
```

Results
* symmetry: Pm-3m, No. 221
* theoretical density: 4.9 Mg/m³
* ΔE_f (raw): 0.62 eV/atom
* energy: -11.1 eV per cell
* DOS at the Fermi energy: 8.54 states/eV/cell
* energy above the most stable polymorph in this dataset: 688 meV per atom

=====

VASP calculation (GGA-PBE) on Ce2Al4GeAu3 after structural relaxation.

```
Ce2Al4GeAu3
1.0
4.4469 0.0000 0.0000
0.0000 4.4469 0.0000
0.0000 0.0000 10.3223
Ce Al Ge Au
2 4 1 3
direct
0.0000 0.5000 0.2449 Ce
0.5000 0.0000 0.7551 Ce
0.0000 0.0000 0.5000 Al
0.0000 0.5000 0.8686 Al
0.5000 0.0000 0.1314 Al
0.5000 0.5000 0.5000 Al
0.5000 0.5000 0.0000 Ge
0.0000 0.0000 0.0000 Au
0.0000 0.5000 0.6290 Au
0.5000 0.0000 0.3710 Au
```

Results
* formation energy from the elements: -0.636 eV/atom
* symmetry: P-4m2, No. 115
* theoretical density: 8.6 Mg/m³
* energy: -47.6 eV per cell
* DOS at the Fermi energy: 14.43 states/eV/cell

=====

> What is the energy in the second record?

-47.6 eV per cell